A plane-wave DFT calculation with PBE was carried out for TcHIr3 after structural relaxation.

Cell and atoms, written as POSCAR:
```
TcHIr3
1.0
-0.937 -2.163 -3.142
3.738 0.122 -1.199
0.758 -3.276 2.029
H Ir Tc
1 3 1
Direct
0.000 0.000 0.000
0.000 0.500 0.000
0.000 0.000 0.500
0.500 0.000 0.000
0.500 0.500 0.500
```

## Properties
ρ = 18.52 g/cm3
polymorph energy (0 for the lowest one) = 0 meV per atom
space group = Pm-3m, No. 221